[1]
Density functional theory data (PBE) for a relaxed structure of BiW3I.

Output
The calculation puts the excess energy over the best structure of this formula in the dataset at 596 meV/atom. For the uncorrected formation energy, the calculation gives 3223.1 meV/atom. Its spin magnetization is 0.0 μB/cell. Its space group is Pm-3m, No. 221. The value obtained for the total energy is -28.18 eV for the cell shown. The calculated density comes out at 11.0 g/cm³.

Unit cell a=5.1108 b=5.1108 c=5.1108 alpha=90.00 beta=90.00 gamma=90.00
With the nearest neighbours (Å) after each atom.
Sites, in units of the cell vectors:
I (0.5000, 0.5000, 0.5000)  12 W 3.61
Bi (0.0000, 0.0000, 0.0000)  6 W 2.56
W (0.0000, 0.0000, 0.5000)  2 Bi 2.56
W (0.5000, 0.0000, 0.0000)  2 Bi 2.56
W (0.0000, 0.5000, 0.0000)  2 Bi 2.56

***

[2]
Density functional theory data (PBE) for a relaxed structure of CaPdW.

Output
The calculation puts the excess energy over the best structure of this formula in the dataset at 78 meV/atom. Its spin magnetization is 0.0 μB/cell. Its space group is Pnma, No. 62. The value obtained for the total energy is -79.84 eV for the cell shown. The calculated density comes out at 8.9 g/cm³. Its energy of formation from the pure elements is 0.062 eV/atom.

Unit cell a=8.2651 b=3.3741 c=8.8735 alpha=90.00 beta=90.00 gamma=90.00
With the nearest neighbours (Å) after each atom.
Sites, in units of the cell vectors:
Pd (0.2346, 0.7500, 0.8576)  3 W 2.74-2.99, 4 Ca 2.89-3.00
Pd (0.7346, 0.7500, 0.6424)  3 W 2.74-2.99, 4 Ca 2.89-3.00
Pd (0.2654, 0.2500, 0.3576)  3 W 2.74-2.99, 4 Ca 2.89-3.00
Pd (0.7654, 0.2500, 0.1424)  3 W 2.74-2.99, 4 Ca 2.89-3.00
Ca (0.5645, 0.7500, 0.3295)  5 Pd 2.89-3.11
Ca (0.4355, 0.2500, 0.6705)  5 Pd 2.89-3.11
Ca (0.0645, 0.7500, 0.1705)  5 Pd 2.89-3.11
Ca (0.9355, 0.2500, 0.8295)  5 Pd 2.89-3.11
W (0.9004, 0.2500, 0.4545)  2 W 2.49, 2 Pd 2.74
W (0.4004, 0.2500, 0.0455)  2 W 2.49, 2 Pd 2.74
W (0.5996, 0.7500, 0.9545)  2 W 2.49, 2 Pd 2.74
W (0.0996, 0.7500, 0.5455)  2 W 2.49, 2 Pd 2.74

***

[3]
Density functional theory data (PBE) for a relaxed structure of ThInPd.

Output
Its spin magnetization is 0.0 μB/cell. Its space group is I4mm, No. 107. The value obtained for the total energy is -16.93 eV for the cell shown. The calculated density comes out at 10.8 g/cm³. Its energy of formation from the pure elements is -0.528 eV/atom.

Unit cell a=3.4396 b=3.4396 c=6.3765 alpha=105.65 beta=105.65 gamma=90.00
With the nearest neighbours (Å) after each atom.
Sites, in units of the cell vectors:
Th (0.0139, 0.0139, 0.0278)  4 Pd 3.10, 4 In 3.42, 4 Th 3.44
In (0.3096, 0.3096, 0.6192)  4 Pd 2.89
Pd (0.6765, 0.6765, 0.3530)  4 In 2.89, 4 Th 3.10

***

[4]
Density functional theory data (PBE) for a relaxed structure of KIn2Pb4.

Output
The calculation puts the excess energy over the best structure of this formula in the dataset at 0 meV/atom. Its spin magnetization is 0.0 μB/cell. Its space group is C2/m, No. 12. The value obtained for the total energy is -21.81 eV for the cell shown. The calculated density comes out at 7.9 g/cm³. Its energy of formation from the pure elements is -0.058 eV/atom.

Unit cell a=6.2100 b=6.8086 c=6.8079 alpha=83.47 beta=63.54 gamma=63.53
With the nearest neighbours (Å) after each atom.
Sites, in units of the cell vectors:
K (0.0000, 0.0000, 0.0000)  12 Pb 3.75-3.91
Pb (0.2998, 0.3873, 0.0146)  4 Pb 3.28-3.43, 4 In 3.37-3.64
Pb (0.6998, 0.9854, 0.6128)  4 Pb 3.28-3.43, 4 In 3.37-3.64
Pb (0.7000, 0.6127, 0.9854)  4 Pb 3.28-3.43, 4 In 3.37-3.63
Pb (0.3000, 0.0146, 0.3871)  4 Pb 3.28-3.43, 4 In 3.37-3.64
In (0.2531, 0.5040, 0.5038)  2 In 3.02-3.19, 4 Pb 3.37
In (0.7472, 0.4960, 0.4963)  2 In 3.02-3.19, 4 Pb 3.37

***

[5]
Density functional theory data (PBE) for a relaxed structure of Sm5Sc3Bi8.

Output
Its spin magnetization is 0.0 μB/cell. Its space group is R-3m, No. 166. The value obtained for the total energy is -86.57 eV for the cell shown. The calculated density comes out at 8.5 g/cm³. Its energy of formation from the pure elements is -0.808 eV/atom.

Unit cell a=8.9136 b=8.9136 c=8.9055 alpha=59.97 beta=59.97 gamma=60.00
With the nearest neighbours (Å) after each atom.
Sites, in units of the cell vectors:
Bi (0.7500, 0.7500, 0.2632)  2 Sc 3.07, 4 Sm 3.15-3.23
Bi (0.7566, 0.7566, 0.7303)  3 Sc 3.07, 3 Sm 3.23
Bi (0.2434, 0.2434, 0.2697)  3 Sc 3.07, 3 Sm 3.23
Bi (0.2500, 0.2500, 0.7368)  2 Sc 3.07, 4 Sm 3.15-3.23
Bi (0.2368, 0.7500, 0.2632)  2 Sc 3.07, 4 Sm 3.15-3.23
Bi (0.7632, 0.2500, 0.7368)  2 Sc 3.07, 4 Sm 3.15-3.23
Bi (0.7500, 0.2368, 0.2632)  2 Sc 3.07, 4 Sm 3.15-3.23
Bi (0.2500, 0.7632, 0.7368)  2 Sc 3.07, 4 Sm 3.15-3.23
Sm (0.5000, 0.5000, 0.5000)  6 Bi 3.15
Sm (0.5000, 0.5000, 0.0000)  6 Bi 3.23
Sm (0.0000, 0.5000, 0.0000)  6 Bi 3.23
Sm (0.5000, 0.0000, 0.0000)  6 Bi 3.23
Sm (0.0000, 0.0000, 0.0000)  6 Bi 3.15
Sc (0.5000, 0.0000, 0.5000)  6 Bi 3.07
Sc (0.0000, 0.0000, 0.5000)  6 Bi 3.07
Sc (0.0000, 0.5000, 0.5000)  6 Bi 3.07

***

[6]
Density functional theory data (PBE) for a relaxed structure of TmHfNi.

Output
The calculation puts the excess energy over the best structure of this formula in the dataset at 169 meV/atom. Its spin magnetization is 0.0 μB/cell. Its space group is R-3m, No. 166. The value obtained for the total energy is -41.10 eV for the cell shown. The calculated density comes out at 9.9 g/cm³. Its energy of formation from the pure elements is -0.114 eV/atom.

Unit cell a=4.3370 b=4.3370 c=8.7019 alpha=75.57 beta=75.57 gamma=60.00
With the nearest neighbours (Å) after each atom.
Sites, in units of the cell vectors:
Hf (0.6305, 0.6305, 0.1086)  4 Ni 2.60-2.62
Hf (0.3695, 0.3695, 0.8914)  4 Ni 2.60-2.62
Ni (0.2657, 0.2657, 0.2029)  4 Hf 2.60-2.62, 3 Tm 2.82
Ni (0.7343, 0.7343, 0.7971)  4 Hf 2.60-2.62, 3 Tm 2.82
Tm (0.1192, 0.1192, 0.6423)  3 Ni 2.82
Tm (0.8808, 0.8808, 0.3577)  3 Ni 2.82

***

[7]
Density functional theory data (PBE) for a relaxed structure of NaInGaHg2.

Output
Its spin magnetization is 0.0 μB/cell. Its space group is P4/mmm, No. 123. The value obtained for the total energy is -7.36 eV for the cell shown. The calculated density comes out at 6.5 g/cm³. Its energy of formation from the pure elements is 0.065 eV/atom.

Unit cell a=5.2934 b=5.2934 c=5.5415 alpha=90.00 beta=90.00 gamma=90.00
With the nearest neighbours (Å) after each atom.
Sites, in units of the cell vectors:
Ga (0.0000, 0.0000, 0.0000)  4 Hg 2.65, 2 In 2.77
In (0.0000, 0.0000, 0.5000)  2 Ga 2.77
Hg (0.5000, 0.0000, 0.0000)  2 Ga 2.65
Hg (0.0000, 0.5000, 0.0000)  2 Ga 2.65
Na (0.5000, 0.5000, 0.5000)  4 In 3.74, 8 Hg 3.83

***

[8]
Density functional theory data (PBE) for a relaxed structure of PmDy2Er7.

Output
The calculation puts the excess energy over the best structure of this formula in the dataset at 0 meV/atom. Its spin magnetization is 0.0 μB/cell. Its space group is P-1, No. 2. The value obtained for the total energy is -45.70 eV for the cell shown. The calculated density comes out at 8.8 g/cm³. Its energy of formation from the pure elements is 0.020 eV/atom.

Unit cell a=6.1062 b=7.8771 c=7.8869 alpha=90.02 beta=75.04 gamma=58.92
With the nearest neighbours (Å) after each atom.
Sites, in units of the cell vectors:
Er (0.9999, 0.7996, 0.4004)  7 Er 3.51-3.53, 4 Dy 3.52-3.53, 1 Pm 3.53
Er (0.5000, 0.8999, 0.2005)  8 Er 3.52-3.53, 2 Dy 3.52-3.53, 2 Pm 3.53
Er (0.5000, 0.1001, 0.7995)  8 Er 3.52-3.53, 2 Dy 3.52-3.53, 2 Pm 3.53
Er (0.5000, 0.5000, 0.0000)  8 Er 3.52-3.53, 2 Pm 3.52, 2 Dy 3.53
Er (0.9998, 0.4009, 0.2009)  8 Er 3.51-3.53, 3 Dy 3.52-3.53, 1 Pm 3.53
Er (0.0001, 0.2004, 0.5996)  7 Er 3.51-3.53, 4 Dy 3.52-3.53, 1 Pm 3.53
Er (0.0002, 0.5991, 0.7991)  8 Er 3.51-3.53, 3 Dy 3.52-3.53, 1 Pm 3.53
Dy (0.5003, 0.6995, 0.5997)  10 Er 3.52-3.53, 1 Dy 3.52, 1 Pm 3.53
Dy (0.4997, 0.3005, 0.4003)  10 Er 3.52-3.53, 1 Dy 3.52, 1 Pm 3.53
Pm (0.0000, 0.0000, 0.0000)  10 Er 3.52-3.53, 2 Dy 3.53

***

[9]
Density functional theory data (PBE) for a relaxed structure of Sr3PrTh2P6.

Output
Its spin magnetization is 0.0 μB/cell. Its space group is C2/m, No. 12. The value obtained for the total energy is -72.72 eV for the cell shown. The calculated density comes out at 5.2 g/cm³. Its energy of formation from the pure elements is -1.299 eV/atom.

Unit cell a=7.4023 b=7.4023 c=7.4534 alpha=99.53 beta=99.53 gamma=120.02
With the nearest neighbours (Å) after each atom.
Sites, in units of the cell vectors:
Sr (0.1652, 0.8348, 0.5000)  6 P 3.10-3.15
Sr (0.8348, 0.1652, 0.5000)  6 P 3.10-3.15
Sr (0.5000, 0.5000, 0.5000)  6 P 3.09-3.15
P (0.4152, 0.0757, 0.2268)  2 Th 2.92, 1 Pr 2.98, 3 Sr 3.10-3.15
P (0.2641, 0.2641, 0.7732)  2 Th 2.92, 1 Pr 2.98, 3 Sr 3.09-3.13
P (0.0757, 0.4152, 0.2268)  2 Th 2.92, 1 Pr 2.98, 3 Sr 3.10-3.15
P (0.7359, 0.7359, 0.2268)  2 Th 2.92, 1 Pr 2.98, 3 Sr 3.09-3.13
P (0.9243, 0.5848, 0.7732)  2 Th 2.92, 1 Pr 2.98, 3 Sr 3.10-3.15
P (0.5848, 0.9243, 0.7732)  2 Th 2.92, 1 Pr 2.98, 3 Sr 3.10-3.15
Th (0.6667, 0.3333, 0.0000)  6 P 2.92
Th (0.3333, 0.6667, 0.0000)  6 P 2.92
Pr (0.0000, 0.0000, 0.0000)  6 P 2.98